This record from the Alexandria database describes a geometry-optimized LaPrDy3Ho structure. The functional is PBE-GGA.

Calculated values
As for the formation energy from the elements: 0.185 eV per atom. As for the density of states at the Fermi level: 19.400 states/eV per cell. The calculation puts the magnetization at 0.00 μB per cell. Its space group is No. 12.

a = 10.3809 Å, b = 10.3809 Å, c = 7.0829 Å
α = 90.37°, β = 90.37°, γ = 31.76°
Element x y z (fractional)
La1 0.1461 0.1461 0.0325
La2 0.8539 0.8539 0.9675
Pr1 0.4467 0.4467 0.7338
Pr2 0.5533 0.5533 0.2662
Dy1 0.0230 0.0230 0.7389
Dy2 0.2796 0.2796 0.7543
Dy3 0.3341 0.3341 0.2679
Dy4 0.6659 0.6659 0.7321
Dy5 0.7204 0.7204 0.2457
Dy6 0.9770 0.9770 0.2611
Ho1 0.1502 0.1502 0.4628
Ho2 0.8498 0.8498 0.5372